First-principles (PBE-GGA) data for an optimized crystal structure of CaAcMgSi, as listed in the Alexandria database.

Summary:
Volume (Å³ per atom): 28.4
E_tot (eV/atom): -3.461
DOS(E_F) (states/eV per atom): 0.696
Total magnetic moment (μB per formula unit): 0.0
Crystal system: cubic
Raw formation energy (eV/atom): -0.180

```
4
Lattice="-3.9228 -2.5596 2.7617 1.1100 -4.6152 2.6522 0.0953 -0.0562 5.4364" Properties=species:S:1:pos:R:3 pbc="T T T"
Si -2.0381 -5.4233 8.1376
Mg -0.6794 -1.8078 2.7125
Ac 0.0000 0.0000 0.0000
Ca -1.3587 -3.6155 5.4251
```